(w)
Here is crystalline CuSiF2 at its relaxed geometry from the Alexandria database. Energies are from PBE.

Output
- ρ (g/cm³) = 3.919

abc: 2.6310 2.6310 27.4895
angles: 90.00 90.00 120.00
With the nearest neighbours (Å) after each atom.
Space group R-3m (No. 166, hexagonal axes)
Inequivalent atoms, fractional coordinates:
1 Cu 0.0000 0.0000 0.0000  6 Cu 2.63
2 Si 0.0000 0.0000 0.5000  2 F 1.64
3 F 0.0000 0.0000 0.4402  1 Si 1.64

---

(x)
Here is crystalline CuSiF2 at its relaxed geometry from the Alexandria database. Energies are from PBE.

Output
- ρ (g/cm³) = 4.304

abc: 5.8484 5.8484 5.8484
angles: 90.00 90.00 90.00
With the nearest neighbours (Å) after each atom.
Space group Fm-3m (No. 225)
Inequivalent atoms, fractional coordinates:
1 Cu 0.0000 0.0000 0.0000  8 F 2.53
2 Si 0.0000 0.0000 0.5000  8 F 2.53
3 F 0.2500 0.2500 0.2500  4 Si 2.53, 4 Cu 2.53

---

(y)
Here is crystalline CuSiF2 at its relaxed geometry from the Alexandria database. Energies are from PBE.

Output
- ρ (g/cm³) = 4.375

abc: 2.7488 2.7488 22.5597
angles: 90.00 90.00 120.00
With the nearest neighbours (Å) after each atom.
Space group R-3m (No. 166, hexagonal axes)
Inequivalent atoms, fractional coordinates:
1 Cu 0.0000 0.0000 0.0000  2 F 1.86
2 Si 0.0000 0.0000 0.5000  6 F 2.48, 6 Si 2.75
3 F 0.0000 0.0000 0.0822  1 Cu 1.86

---

(z)
Here is crystalline CuSiF2 at its relaxed geometry from the Alexandria database. Energies are from PBE.

Output
- ρ (g/cm³) = 4.484

abc: 3.6256 3.6256 14.6082
angles: 90.00 90.00 90.00
With the nearest neighbours (Å) after each atom.
Space group I-42d (No. 122)
Inequivalent atoms, fractional coordinates:
1 Cu 0.0000 0.0000 0.0000  4 F 2.25
2 Si 0.0000 0.0000 0.5000  4 F 2.21
3 F 0.2364 0.2500 0.6250  2 Si 2.21, 2 Cu 2.25

---

Tell me which of them is the least stable. Sure, it is (x).

---

(w)
Here is crystalline Cu3SnF at its relaxed geometry from the Alexandria database. Energies are from PBE.

Output
- ρ (g/cm³) = 7.128

abc: 4.2449 4.2449 4.2449
angles: 90.00 90.00 90.00
With the nearest neighbours (Å) after each atom.
Space group Pm-3m (No. 221)
Inequivalent atoms, fractional coordinates:
1 Cu 0.0000 0.0000 0.5000  2 F 2.12
2 Sn 0.5000 0.5000 0.5000  12 Cu 3.00
3 F 0.0000 0.0000 0.0000  6 Cu 2.12

---

(x)
Here is crystalline Cu3SnF at its relaxed geometry from the Alexandria database. Energies are from PBE.

Output
- ρ (g/cm³) = 4.692

abc: 4.8798 4.8798 4.8798
angles: 90.00 90.00 90.00
With the nearest neighbours (Å) after each atom.
Space group Pm-3m (No. 221)
Inequivalent atoms, fractional coordinates:
1 Cu 0.0000 0.0000 0.5000  2 Sn 2.44
2 Sn 0.0000 0.0000 0.0000  6 Cu 2.44
3 F 0.5000 0.5000 0.5000  12 Cu 3.45

---

Tell me which of them is the least stable. Sure, it is (x).

---

(w)
Here is crystalline SrCuF4 at its relaxed geometry from the Alexandria database. Energies are from PBE.

Output
- ρ (g/cm³) = 4.200

abc: 5.6987 5.6987 11.0613
angles: 90.00 90.00 90.00
With the nearest neighbours (Å) after each atom.
Space group I4_1/a (No. 88, origin choice 2)
Inequivalent atoms, fractional coordinates:
1 Sr 0.0000 0.2500 0.1250  8 F 2.47-2.59
2 Cu 0.0000 0.2500 0.6250  4 F 1.92
3 F 0.1368 0.0379 0.3195  1 Cu 1.92

---

(x)
Here is crystalline SrCuF4 at its relaxed geometry from the Alexandria database. Energies are from PBE.

Output
- ρ (g/cm³) = 4.041

abc: 6.9312 7.3773 3.6509
angles: 90.00 90.00 90.00
With the nearest neighbours (Å) after each atom.
Space group Cmmm (No. 65)
Inequivalent atoms, fractional coordinates:
1 Sr 0.0000 0.0000 0.0000  6 F 2.41
2 Cu 0.0000 0.5000 0.5000  2 F 1.89
3 F 0.0000 0.3267 0.0000  2 Cu 2.23, 1 Sr 2.41
4 F 0.2268 0.0000 0.5000  1 Cu 1.89

---

Tell me which of them is the least stable. Sure, it is (x).

---

(w)
Here is crystalline TaCuF3 at its relaxed geometry from the Alexandria database. Energies are from PBE.

Output
- ρ (g/cm³) = 7.364

abc: 4.0814 4.0814 4.0814
angles: 90.00 90.00 90.00
With the nearest neighbours (Å) after each atom.
Space group Pm-3m (No. 221)
Inequivalent atoms, fractional coordinates:
1 Ta 0.0000 0.0000 0.0000  12 F 2.89
2 Cu 0.5000 0.5000 0.5000  6 F 2.04
3 F 0.0000 0.5000 0.5000  2 Cu 2.04

---

(x)
Here is crystalline TaCuF3 at its relaxed geometry from the Alexandria database. Energies are from PBE.

Output
- ρ (g/cm³) = 6.779

abc: 4.1955 4.1955 4.1955
angles: 90.00 90.00 90.00
With the nearest neighbours (Å) after each atom.
Space group Pm-3m (No. 221)
Inequivalent atoms, fractional coordinates:
1 Ta 0.0000 0.0000 0.0000  6 F 2.10
2 Cu 0.5000 0.5000 0.5000  12 F 2.97
3 F 0.0000 0.0000 0.5000  2 Ta 2.10

---

Tell me which of them is the least stable. Sure, it is (w).

---

(w)
Here is crystalline CuTc3F at its relaxed geometry from the Alexandria database. Energies are from PBE.

Output
- ρ (g/cm³) = 6.568

abc: 4.5660 4.5660 4.5660
angles: 90.00 90.00 90.00
With the nearest neighbours (Å) after each atom.
Space group Pm-3m (No. 221)
Inequivalent atoms, fractional coordinates:
1 Cu 0.0000 0.0000 0.0000  6 Tc 2.28
2 Tc 0.0000 0.0000 0.5000  2 Cu 2.28
3 F 0.5000 0.5000 0.5000  12 Tc 3.23

---

(x)
Here is crystalline CuTc3F at its relaxed geometry from the Alexandria database. Energies are from PBE.

Output
- ρ (g/cm³) = 8.889

abc: 4.1279 4.1279 4.1279
angles: 90.00 90.00 90.00
With the nearest neighbours (Å) after each atom.
Space group Pm-3m (No. 221)
Inequivalent atoms, fractional coordinates:
1 Cu 0.0000 0.0000 0.0000  12 Tc 2.92
2 Tc 0.0000 0.5000 0.5000  2 F 2.06
3 F 0.5000 0.5000 0.5000  6 Tc 2.06

---

Tell me which of them is the least stable. Sure, it is (w).

---

(w)
Here is crystalline Cu2TcF at its relaxed geometry from the Alexandria database. Energies are from PBE.

Output
- ρ (g/cm³) = 7.486

abc: 6.0052 6.0052 6.0052
angles: 90.00 90.00 90.00
With the nearest neighbours (Å) after each atom.
Space group Fm-3m (No. 225)
Inequivalent atoms, fractional coordinates:
1 Cu 0.2500 0.2500 0.2500  4 F 2.60, 4 Tc 2.60
2 Tc 0.0000 0.0000 0.0000  8 Cu 2.60
3 F 0.0000 0.0000 0.5000  8 Cu 2.60

---

(x)
Here is crystalline Cu2TcF at its relaxed geometry from the Alexandria database. Energies are from PBE.

Output
- ρ (g/cm³) = 7.623

abc: 6.7330 6.7330 4.6916
angles: 90.00 90.00 90.00
With the nearest neighbours (Å) after each atom.
Space group I-42d (No. 122)
Inequivalent atoms, fractional coordinates:
1 Cu 0.2118 0.2500 0.1250  2 F 2.28, 2 Cu 2.40
2 Tc 0.0000 0.0000 0.5000  2 F 2.35
3 F 0.0000 0.0000 0.0000  4 Cu 2.28, 2 Tc 2.35

---

Tell me which of them is the least stable. Sure, it is (w).

---

(w)
Here is crystalline CuTe3F at its relaxed geometry from the Alexandria database. Energies are from PBE.

Output
- ρ (g/cm³) = 6.041

abc: 5.0384 5.0384 5.0384
angles: 90.00 90.00 90.00
With the nearest neighbours (Å) after each atom.
Space group Pm-3m (No. 221)
Inequivalent atoms, fractional coordinates:
1 Cu 0.0000 0.0000 0.0000  6 Te 2.52
2 Te 0.0000 0.0000 0.5000  2 Cu 2.52
3 F 0.5000 0.5000 0.5000  12 Te 3.56

---

(x)
Here is crystalline CuTe3F at its relaxed geometry from the Alexandria database. Energies are from PBE.

Output
- ρ (g/cm³) = 6.484

abc: 4.9210 4.9210 4.9210
angles: 90.00 90.00 90.00
With the nearest neighbours (Å) after each atom.
Space group Pm-3m (No. 221)
Inequivalent atoms, fractional coordinates:
1 Cu 0.0000 0.0000 0.0000  12 Te 3.48
2 Te 0.0000 0.5000 0.5000  2 F 2.46
3 F 0.5000 0.5000 0.5000  6 Te 2.46

---

Tell me which of them is the least stable. Sure, it is (x).

---

(w)
Here is crystalline CuTeF at its relaxed geometry from the Alexandria database. Energies are from PBE.

Output
- ρ (g/cm³) = 6.503

abc: 3.8766 10.8201 20.4687
angles: 90.00 90.00 90.00
With the nearest neighbours (Å) after each atom.
Space group Fddd (No. 70, origin choice 2)
Inequivalent atoms, fractional coordinates:
1 Cu 0.1250 0.1250 0.3040  2 F 2.01
2 Te 0.1250 0.1250 0.5305  2 Cu 2.60
3 F 0.1250 0.2830 0.1250  2 Cu 2.01

---

(x)
Here is crystalline CuTeF at its relaxed geometry from the Alexandria database. Energies are from PBE.

Output
- ρ (g/cm³) = 7.238

abc: 4.2499 4.2499 3.0820
angles: 90.00 90.00 120.00
With the nearest neighbours (Å) after each atom.
Space group P3m1 (No. 156)
Inequivalent atoms, fractional coordinates:
1 Cu 0.0000 0.0000 0.0000  3 F 2.51, 3 Te 2.70
2 Te 0.6667 0.3333 0.3691  3 Cu 2.70, 6 F 2.84-2.96
3 F 0.3333 0.6667 0.8307  3 Cu 2.51

---

Tell me which of them is the least stable. Sure, it is (x).

---

(w)
Here is crystalline Ti2CuF at its relaxed geometry from the Alexandria database. Energies are from PBE.

Output
- ρ (g/cm³) = 4.553

abc: 4.7330 4.7330 11.6103
angles: 90.00 90.00 90.00
With the nearest neighbours (Å) after each atom.
Space group I-42d (No. 122)
Inequivalent atoms, fractional coordinates:
1 Ti 0.1763 0.2500 0.1250  2 F 2.05
2 Cu 0.0000 0.0000 0.5000  4 Ti 2.42
3 F 0.0000 0.0000 0.0000  4 Ti 2.05

---

(x)
Here is crystalline Ti2CuF at its relaxed geometry from the Alexandria database. Energies are from PBE.

Output
- ρ (g/cm³) = 5.342

abc: 6.0521 6.0521 6.0521
angles: 90.00 90.00 90.00
With the nearest neighbours (Å) after each atom.
Space group Fm-3m (No. 225)
Inequivalent atoms, fractional coordinates:
1 Ti 0.2500 0.2500 0.2500  4 F 2.62, 4 Cu 2.62
2 Cu 0.0000 0.0000 0.0000  8 Ti 2.62
3 F 0.0000 0.0000 0.5000  8 Ti 2.62

---

Tell me which of them is the least stable. Sure, it is (x).

---

(w)
Here is crystalline TiCu2F at its relaxed geometry from the Alexandria database. Energies are from PBE.

Output
- ρ (g/cm³) = 5.964

abc: 6.9591 6.9591 4.4607
angles: 90.00 90.00 90.00
With the nearest neighbours (Å) after each atom.
Space group I-42d (No. 122)
Inequivalent atoms, fractional coordinates:
1 Ti 0.0000 0.0000 0.0000  2 F 2.23
2 Cu 0.2112 0.2500 0.6250  2 Cu 2.29, 2 F 2.34
3 F 0.0000 0.0000 0.5000  2 Ti 2.23, 4 Cu 2.34

---

(x)
Here is crystalline TiCu2F at its relaxed geometry from the Alexandria database. Energies are from PBE.

Output
- ρ (g/cm³) = 5.950

abc: 6.0047 6.0047 6.0047
angles: 90.00 90.00 90.00
With the nearest neighbours (Å) after each atom.
Space group Fm-3m (No. 225)
Inequivalent atoms, fractional coordinates:
1 Ti 0.0000 0.0000 0.0000  8 Cu 2.60
2 Cu 0.2500 0.2500 0.2500  4 F 2.60, 4 Ti 2.60
3 F 0.0000 0.0000 0.5000  8 Cu 2.60

---

Tell me which of them is the least stable. Sure, it is (x).

---

(w)
Here is crystalline Tl3CuF6 at its relaxed geometry from the Alexandria database. Energies are from PBE.

Output
- ρ (g/cm³) = 6.806

abc: 10.0387 10.0387 13.2624
angles: 90.00 90.00 120.00
With the nearest neighbours (Å) after each atom.
Space group R-3m (No. 166, hexagonal axes)
Inequivalent atoms, fractional coordinates:
1 Tl 0.0752 0.5376 0.3816  3 F 2.62
2 Cu 0.0000 0.0000 0.0000  6 F 1.95
3 Cu 0.0000 0.0000 0.5000  6 F 1.95
4 F 0.0908 0.1816 0.4131  1 Cu 1.95
5 F 0.0920 0.1839 0.0837  1 Cu 1.95

---

(x)
Here is crystalline Tl3CuF6 at its relaxed geometry from the Alexandria database. Energies are from PBE.

Output
- ρ (g/cm³) = 6.989

abc: 10.6018 12.7250 5.5702
angles: 90.00 90.00 90.00
With the nearest neighbours (Å) after each atom.
Space group Cmc2_1 (No. 36)
Inequivalent atoms, fractional coordinates:
1 Tl 0.0000 0.0963 0.0000  7 F 2.22-2.34
2 Tl 0.1777 0.3846 0.8925  4 F 2.68-2.84
3 Cu 0.0000 0.3197 0.4530  2 F 1.84-1.85
4 F 0.0000 0.2171 0.6873  1 Cu 1.85
5 F 0.0000 0.4355 0.2551  1 Cu 1.84
6 F 0.1285 0.0153 0.7289  2 Tl 2.28-2.34
7 F 0.1342 0.2115 0.1577  1 Tl 2.22

---

Tell me which of them is the least stable. Sure, it is (w).

---

(w)
Here is crystalline Tl2CuF at its relaxed geometry from the Alexandria database. Energies are from PBE.

Output
- ρ (g/cm³) = 10.096

abc: 6.8628 6.8628 6.8628
angles: 90.00 90.00 90.00
With the nearest neighbours (Å) after each atom.
Space group Fm-3m (No. 225)
Inequivalent atoms, fractional coordinates:
1 Tl 0.2500 0.2500 0.2500  4 F 2.97, 4 Cu 2.97
2 Cu 0.0000 0.0000 0.0000  8 Tl 2.97
3 F 0.0000 0.0000 0.5000  8 Tl 2.97

---

(x)
Here is crystalline Tl2CuF at its relaxed geometry from the Alexandria database. Energies are from PBE.

Output
- ρ (g/cm³) = 7.221

abc: 6.2015 6.2015 11.7514
angles: 90.00 90.00 90.00
With the nearest neighbours (Å) after each atom.
Space group I-42d (No. 122)
Inequivalent atoms, fractional coordinates:
1 Tl 0.2379 0.2500 0.1250  2 F 2.60, 2 Cu 2.68
2 Cu 0.0000 0.0000 0.5000  4 Tl 2.68
3 F 0.0000 0.0000 0.0000  4 Tl 2.60

---

Tell me which of them is the least stable. Sure, it is (x).